Density functional theory data (PBE-GGA) for crystalline CsNa2SrPb at its relaxed geometry.

abc: 6.3552 6.3552 6.5554
angles: 90.00 90.00 90.00
Last column: nearest neighbours and their distance in Å.
Fractional positions:
Cs: 0.0000 0.0000 0.0000  4 Sr 4.49, 8 Na 4.57
Na: 0.0000 0.5000 0.5000  2 Pb 3.18
Na: 0.5000 0.0000 0.5000  2 Pb 3.18
Sr: 0.5000 0.5000 0.0000  2 Pb 3.28
Pb: 0.5000 0.5000 0.5000  4 Na 3.18, 2 Sr 3.28

Values from the calculation:
Crystal system: tetragonal
Energy relative to the elements in meV per atom: -63
Final energy in eV/atom: -1.839
M_tot in μB/atom: 0.000
Density of states at the Fermi level in states/eV per cell: 3.40
Calculated volume in Å³/atom: 52.95